[1]
DFT (PBE) results for Mg3InPb3 after structural relaxation.

Summary:
Energy relative to the lowest polymorph listed for this composition in meV per atom: 0
Energy of formation from the pure elements in eV/atom: 0.00
Fermi-level density of states in states/eV per cell: 2.98
Mass density in g/cm³: 6.95

Structure (POSCAR):
```
Mg3InPb3
1.0
5.125 2.959 2.125
-5.125 2.959 2.125
0.000 -5.917 2.125
Mg In Pb
3 1 3
direct
0.005 0.498 0.498
0.498 0.005 0.498
0.498 0.498 0.005
0.512 0.512 0.512
0.508 0.999 0.999
0.999 0.508 0.999
0.999 0.999 0.508
```

=====

[2]
DFT (PBE) results for SrAc2Sn2 after structural relaxation.

Summary:
Energy relative to the lowest polymorph listed for this composition in meV per atom: 0
Energy of formation from the pure elements in eV/atom: -0.67
Fermi-level density of states in states/eV per cell: 5.63
Mass density in g/cm³: 6.98

Structure (POSCAR):
```
SrAc2Sn2
1.0
8.648 0.000 0.000
0.000 8.648 0.000
0.000 0.000 4.958
Sr Ac Sn
2 4 4
direct
0.000 0.000 0.000
0.500 0.500 0.000
0.175 0.325 0.500
0.325 0.825 0.500
0.675 0.175 0.500
0.825 0.675 0.500
0.121 0.621 0.000
0.379 0.121 0.000
0.621 0.879 0.000
0.879 0.379 0.000
```

=====

[3]
DFT (PBE) results for BeCrSeN2 after structural relaxation.

Summary:
Energy relative to the lowest polymorph listed for this composition in meV per atom: 0
Uncorrected formation energy in eV/atom: 0.52
Fermi-level density of states in states/eV per cell: 3.00
Mass density in g/cm³: 4.08

Structure (POSCAR):
```
BeCrSeN2
1.0
3.571 0.000 0.000
0.000 3.571 0.000
0.000 0.000 5.365
Be Cr Se N
1 1 1 2
direct
0.000 0.000 0.000
0.500 0.500 0.500
0.500 0.500 0.000
0.000 0.500 0.500
0.500 0.000 0.500
```

=====

[4]
DFT (PBE) results for MgBe4V after structural relaxation.

Summary:
Energy of formation from the pure elements in eV/atom: 0.09
Fermi-level density of states in states/eV per cell: 4.03
Mass density in g/cm³: 2.87

Structure (POSCAR):
```
MgBe4V
1.0
0.000 3.182 3.182
3.182 0.000 3.182
3.182 3.182 0.000
Mg Be V
1 4 1
direct
0.000 0.000 0.000
0.136 0.621 0.621
0.621 0.136 0.621
0.621 0.621 0.136
0.621 0.621 0.621
0.250 0.250 0.250
```

=====

[5]
DFT (PBE) results for Pb2Br after structural relaxation.

Summary:
Energy relative to the lowest polymorph listed for this composition in meV per atom: 43
Uncorrected formation energy in eV/atom: -0.23
Fermi-level density of states in states/eV per cell: 2.38
Mass density in g/cm³: 7.93

Structure (POSCAR):
```
Pb2Br
1.0
5.263 0.000 0.000
0.000 10.500 0.000
0.000 0.000 3.745
Pb Br
4 2
direct
0.158 0.208 0.000
0.342 0.708 0.500
0.658 0.292 0.500
0.842 0.792 0.000
0.000 0.500 0.000
0.500 0.000 0.500
```

=====

[6]
DFT (PBE) results for TmThAl2 after structural relaxation.

Summary:
Energy relative to the lowest polymorph listed for this composition in meV per atom: 231
Energy of formation from the pure elements in eV/atom: -0.08
Fermi-level density of states in states/eV per cell: 4.49
Mass density in g/cm³: 7.31

Structure (POSCAR):
```
TmThAl2
1.0
1.773 1.024 9.486
-1.773 1.024 9.486
0.000 -2.047 9.486
Tm Th Al
1 1 2
direct
0.000 0.000 0.000
0.500 0.500 0.500
0.253 0.253 0.253
0.747 0.747 0.747
```

=====

[7]
DFT (PBE) results for CsAcHgBi after structural relaxation.

Summary:
Energy of formation from the pure elements in eV/atom: -0.32
Fermi-level density of states in states/eV per cell: 3.78
Mass density in g/cm³: 8.17

Structure (POSCAR):
```
CsAcHgBi
1.0
0.000 4.276 4.276
4.276 0.000 4.276
4.276 4.276 0.000
Cs Ac Hg Bi
1 1 1 1
direct
0.000 0.000 0.000
0.500 0.500 0.500
0.250 0.250 0.250
0.750 0.750 0.750
```

=====

[8]
DFT (PBE) results for SnBIrN2 after structural relaxation.

Summary:
Uncorrected formation energy in eV/atom: 1.50
Fermi-level density of states in states/eV per cell: 2.67
Mass density in g/cm³: 9.38

Structure (POSCAR):
```
SnBIrN2
1.0
3.604 0.000 0.000
0.000 3.604 0.000
0.000 0.000 4.768
Sn B Ir N
1 1 1 2
direct
0.000 0.000 0.000
0.500 0.500 0.500
0.500 0.500 0.000
0.000 0.500 0.500
0.500 0.000 0.500
```